# 1
Compound: AgBi2F12
Source: Alexandria
Functional: GGA-PBEsol
Structure: optimized geometry

Lattice parameters (Å, degrees): 5.254 5.618 8.867 76.03 88.96 65.03
Last column: magnetic moment on the atom in μB.
Element x y z (fractional)
Ag: 0.500 0.500 0.500  0.54
Bi: 0.723 0.020 0.223  0.01
Bi: 0.277 0.980 0.777  0.01
F: 0.227 0.756 0.628  0.09
F: 0.773 0.244 0.372  0.09
F: 0.689 0.747 0.779  0.01
F: 0.676 0.758 0.119  0.00
F: 0.324 0.242 0.881  0.00
F: 0.142 0.785 0.291  0.02
F: 0.858 0.215 0.709  0.02
F: 0.687 0.767 0.437  0.08
F: 0.313 0.233 0.563  0.08
F: 0.802 0.254 0.038  0.00
F: 0.198 0.746 0.962  0.00
F: 0.311 0.253 0.221  0.01

Results
SG = P-1, No. 2
DFT total energy = -3.999 eV/atom
Uncorrected formation energy = -161 kJ per mole of atoms
Magnetic moment = 0.98 Bohr magnetons per cell
Calculated volume = 15.28 Å³/atom
Density = 5.5 g/cm3

# 2
Compound: AgBiI2F
Source: Alexandria
Functional: GGA-PBEsol
Structure: optimized geometry

Lattice parameters (Å, degrees): 4.446 6.132 6.132 90.00 90.00 90.00
Element x y z (fractional)
I: 0.000 0.000 0.500
I: 0.000 0.500 0.000
Bi: 0.000 0.000 0.000
Ag: 0.500 0.500 0.500
F: 0.500 0.000 0.000

Results
SG = P4/mmm, No. 123
DFT total energy = -3.000 eV/atom
Uncorrected formation energy = -38 kJ per mole of atoms
Magnetic moment = 0.00 Bohr magnetons per cell
Calculated volume = 33.44 Å³/atom
Density = 5.9 g/cm3

# 3
Compound: Rb2AgBiF6
Source: Alexandria
Functional: GGA-PBEsol
Structure: optimized geometry

Lattice parameters (Å, degrees): 6.516 6.516 6.516 60.00 60.00 60.00
Element x y z (fractional)
Rb: 0.750 0.750 0.750
Rb: 0.250 0.250 0.250
Ag: 0.500 0.500 0.500
Bi: 0.000 0.000 0.000
F: 0.757 0.243 0.243
F: 0.757 0.757 0.243
F: 0.243 0.757 0.757
F: 0.757 0.243 0.757
F: 0.243 0.757 0.243
F: 0.243 0.243 0.757

Results
SG = Fm-3m, No. 225
DFT total energy = -4.376 eV/atom
Uncorrected formation energy = -218 kJ per mole of atoms
Magnetic moment = 0.00 Bohr magnetons per cell
Calculated volume = 19.56 Å³/atom
Density = 5.1 g/cm3

# 4
Compound: Ag2BiRhF
Source: Alexandria
Functional: GGA-PBEsol
Structure: optimized geometry

Lattice parameters (Å, degrees): 4.301 5.235 5.235 90.00 90.00 90.00
Last column: magnetic moment on the atom in μB.
Element x y z (fractional)
Rh: 0.500 0.500 0.500  1.21
Bi: 0.000 0.000 0.000  0.07
Ag: 0.000 0.000 0.500  0.01
Ag: 0.000 0.500 0.000  0.01
F: 0.500 0.000 0.000  0.00

Results
SG = P4/mmm, No. 123
DFT total energy = -3.571 eV/atom
Uncorrected formation energy = 60 kJ per mole of atoms
Magnetic moment = 1.35 Bohr magnetons per cell
Calculated volume = 23.58 Å³/atom
Density = 7.7 g/cm3

# 5
Compound: Fe3AgBi
Source: Alexandria
Functional: GGA-PBEsol
Structure: optimized geometry

Lattice parameters (Å, degrees): 4.648 4.648 4.648 90.00 90.00 90.00
Last column: magnetic moment on the atom in μB.
Element x y z (fractional)
Bi: 0.500 0.500 0.500  -0.10
Ag: 0.000 0.000 0.000  0.09
Fe: 0.000 0.500 0.000  3.01
Fe: 0.000 0.000 0.500  3.01
Fe: 0.500 0.000 0.000  3.01

Results
SG = Pm-3m, No. 221
DFT total energy = -5.498 eV/atom
Magnetic moment = 9.17 Bohr magnetons per cell
Calculated volume = 20.08 Å³/atom
Density = 8.0 g/cm3

# 6
Compound: HfFe2AgBi
Source: Alexandria
Functional: GGA-PBEsol
Structure: optimized geometry

Lattice parameters (Å, degrees): 4.749 4.749 5.380 90.00 90.00 90.00
Last column: magnetic moment on the atom in μB.
Element x y z (fractional)
Hf: 0.000 0.000 0.500  -0.17
Bi: 0.000 0.000 0.000  -0.03
Ag: 0.500 0.500 0.500  -0.01
Fe: 0.000 0.500 0.000  2.69
Fe: 0.500 0.000 0.000  2.69

Results
SG = P4/mmm, No. 123
DFT total energy = -5.602 eV/atom
Magnetic moment = 4.97 Bohr magnetons per cell
Calculated volume = 24.27 Å³/atom
Density = 8.3 g/cm3

# 7
Compound: LiFeAg2Bi
Source: Alexandria
Functional: GGA-PBEsol
Structure: optimized geometry

Lattice parameters (Å, degrees): 5.011 5.269 5.269 90.00 90.00 90.00
Last column: magnetic moment on the atom in μB.
Element x y z (fractional)
Li: 0.500 0.000 0.000  0.00
Bi: 0.000 0.000 0.000  0.10
Ag: 0.000 0.000 0.500  0.02
Ag: 0.000 0.500 0.000  0.02
Fe: 0.500 0.500 0.500  3.41

Results
SG = P4/mmm, No. 123
DFT total energy = -3.227 eV/atom
Magnetic moment = 3.84 Bohr magnetons per cell
Calculated volume = 27.82 Å³/atom
Density = 5.8 g/cm3

# 8
Compound: TaGaAgBi2
Source: Alexandria
Functional: GGA-PBEsol
Structure: optimized geometry

Lattice parameters (Å, degrees): 5.267 5.370 5.370 90.00 90.00 90.00
Element x y z (fractional)
Ga: 0.500 0.500 0.500
Bi: 0.000 0.000 0.500
Bi: 0.000 0.500 0.000
Ag: 0.500 0.000 0.000
Ta: 0.000 0.000 0.000

Results
SG = P4/mmm, No. 123
DFT total energy = -4.774 eV/atom
Magnetic moment = 0.00 Bohr magnetons per cell
Calculated volume = 30.38 Å³/atom
Density = 8.5 g/cm3